[1]
Compound: KCoNiPd2
Source: Alexandria via LeMat-Bulk
Functional: PBE
Structure: relaxed

Calculated values
- SG: P4/mmm, No. 123
- Total energy: -4.2698 eV per atom
- Energy relative to the elements: 0.60 eV/atom
- Size of the total moment: 3.2 μB per formula unit
- Fermi-level density of states: 4.154 states/eV/f.u.

a = 4.7744 Å, b = 4.4487 Å, c = 4.7744 Å
α = 90.00°, β = 90.00°, γ = 90.00°
Fractional coordinates of all 5 atoms:
K (0.5000, 0.5000, 0.5000)
Co (0.0000, 0.0000, 0.0000)
Pd (0.5000, 0.0000, 0.0000)
Ni (0.0000, 0.5000, 0.0000)
Pd (0.0000, 0.0000, 0.5000)


[2]
Compound: Ac4DyY
Source: Alexandria via LeMat-Bulk
Functional: PBE
Structure: relaxed

Calculated values
- SG: F-43m, No. 216
- Total energy: -4.2085 eV per atom
- Energy relative to the elements: 0.37 eV/atom
- Size of the total moment: 0.0 μB per formula unit
- Fermi-level density of states: 11.022 states/eV/f.u.
- Relative energy among the computed polymorphs: 213.2 meV per atom

a = 7.1365 Å, b = 7.1365 Å, c = 7.1365 Å
α = 60.00°, β = 60.00°, γ = 60.00°
Fractional coordinates of all 6 atoms:
Ac (0.6250, 0.6250, 0.6250)
Y (0.0000, 0.0000, 0.0000)
Ac (0.6250, 0.6250, 0.1249)
Ac (0.6250, 0.1249, 0.6250)
Dy (0.2500, 0.2500, 0.2500)
Ac (0.1249, 0.6250, 0.6250)


[3]
Compound: TiMn
Source: Alexandria via LeMat-Bulk
Functional: PBE
Structure: relaxed

Calculated values
- SG: Pm-3n, No. 223
- Total energy: -6.6788 eV per atom
- Energy relative to the elements: 1.85 eV/atom
- Size of the total moment: 1.4 μB per formula unit
- Fermi-level density of states: 4.713 states/eV/f.u.

a = 6.7970 Å, b = 6.7970 Å, c = 6.7970 Å
α = 90.00°, β = 90.00°, γ = 90.00°
Fractional coordinates of all 12 atoms:
Mn (0.2500, 0.0000, 0.5000)
Mn (0.0000, 0.5000, 0.2500)
Mn (0.7500, 0.0000, 0.5000)
Ti (0.7500, 0.5000, 0.0000)
Ti (0.5000, 0.0000, 0.7500)
Ti (0.0000, 0.7500, 0.5000)
Mn (0.5000, 0.7500, 0.0000)
Ti (0.2500, 0.5000, 0.0000)
Ti (0.0000, 0.2500, 0.5000)
Mn (0.0000, 0.5000, 0.7500)
Ti (0.5000, 0.0000, 0.2500)
Mn (0.5000, 0.2500, 0.0000)


[4]
Compound: LiSiB
Source: Alexandria via LeMat-Bulk
Functional: PBE
Structure: relaxed

Calculated values
- SG: Imm2, No. 44
- Total energy: -4.5643 eV per atom
- Size of the total moment: 0.0 μB per formula unit
- Fermi-level density of states: 0.257 states/eV/f.u.
- Formation energy without anion corrections: 0.11 eV per atom

a = 3.4131 Å, b = 10.9908 Å, c = 6.3603 Å
α = 30.23°, β = 74.44°, γ = 90.00°
Fractional coordinates of all 9 atoms:
B (0.8559, 0.1720, 0.2882)
Li (0.4108, 0.7950, 0.1784)
Si (0.5752, 0.3891, 0.8497)
Li (0.1689, 0.1689, 0.6622)
B (0.7150, 0.7150, 0.5700)
Si (0.5752, 0.7612, 0.8497)
Si (0.9946, 0.4946, 0.0108)
B (0.8559, 0.5398, 0.2882)
Li (0.4108, 0.0266, 0.1784)


[5]
Compound: TlSn2Sb
Source: Alexandria via LeMat-Bulk
Functional: PBE
Structure: relaxed

Calculated values
- SG: R3m, No. 160
- Total energy: -3.5438 eV per atom
- Size of the total moment: 0.0 μB per formula unit
- Fermi-level density of states: 2.262 states/eV/f.u.
- Formation energy without anion corrections: 0.08 eV per atom
- Relative energy among the computed polymorphs: 35.7 meV per atom

a = 4.2064 Å, b = 4.2064 Å, c = 8.4867 Å
α = 75.65°, β = 75.65°, γ = 60.00°
Fractional coordinates of all 4 atoms:
Sb (0.6676, 0.6676, 0.9973)
Sn (0.0756, 0.0756, 0.7732)
Tl (0.4996, 0.4996, 0.5011)
Sn (0.2572, 0.2572, 0.2284)


[6]
Compound: LiRuF2
Source: Alexandria via LeMat-Bulk
Functional: PBE
Structure: relaxed

Calculated values
- SG: R-3m, No. 166
- Total energy: -5.5351 eV per atom
- Size of the total moment: 1.1 μB per formula unit
- Fermi-level density of states: 1.866 states/eV/f.u.
- Formation energy without anion corrections: -1.80 eV per atom
- Relative energy among the computed polymorphs: 0.0 meV per atom

a = 6.5443 Å, b = 6.5443 Å, c = 6.5443 Å
α = 24.20°, β = 24.20°, γ = 24.20°
Fractional coordinates of all 4 atoms:
F (0.8933, 0.8933, 0.8933)
F (0.1067, 0.1067, 0.1067)
Li (0.5000, 0.5000, 0.5000)
Ru (0.0000, 0.0000, 0.0000)


[7]
Compound: LiSn2Sb2
Source: Alexandria via LeMat-Bulk
Functional: PBE
Structure: relaxed

Calculated values
- SG: I4/mmm, No. 139
- Total energy: -3.4698 eV per atom
- Size of the total moment: 0.0 μB per formula unit
- Fermi-level density of states: 2.995 states/eV/f.u.
- Formation energy without anion corrections: 0.16 eV per atom
- Relative energy among the computed polymorphs: 196.7 meV per atom

a = 5.0512 Å, b = 5.0512 Å, c = 7.4881 Å
α = 70.29°, β = 70.29°, γ = 90.00°
Fractional coordinates of all 5 atoms:
Sn (0.3824, 0.3824, 0.2352)
Sb (0.7500, 0.2500, 0.5000)
Sb (0.2500, 0.7500, 0.5000)
Sn (0.6176, 0.6176, 0.7648)
Li (0.0000, 0.0000, 0.0000)


[8]
Compound: BAuC3
Source: Alexandria via LeMat-Bulk
Functional: PBE
Structure: relaxed

Calculated values
- SG: Pm-3m, No. 221
- Total energy: -3.5757 eV per atom
- Energy relative to the elements: 3.95 eV/atom
- Size of the total moment: 0.4 μB per formula unit
- Fermi-level density of states: 5.119 states/eV/f.u.
- Relative energy among the computed polymorphs: 1422.3 meV per atom

a = 4.1138 Å, b = 4.1138 Å, c = 4.1138 Å
α = 90.00°, β = 90.00°, γ = 90.00°
Fractional coordinates of all 5 atoms:
B (0.5000, 0.5000, 0.5000)
Au (0.0000, 0.0000, 0.0000)
C (0.0000, 0.0000, 0.5000)
C (0.0000, 0.5000, 0.0000)
C (0.5000, 0.0000, 0.0000)


[9]
Compound: Li2BeCl
Source: Alexandria via LeMat-Bulk
Functional: PBE
Structure: relaxed

Calculated values
- SG: Cmm2, No. 35
- Total energy: -2.4740 eV per atom
- Size of the total moment: 0.0 μB per formula unit
- Fermi-level density of states: 1.107 states/eV/f.u.
- Formation energy without anion corrections: -0.12 eV per atom
- Relative energy among the computed polymorphs: 244.4 meV per atom

a = 3.1712 Å, b = 3.1712 Å, c = 8.2752 Å
α = 90.00°, β = 90.00°, γ = 120.95°
Fractional coordinates of all 4 atoms:
Li (0.5000, 0.5000, 0.2832)
Be (0.0000, 0.0000, 0.5315)
Cl (0.5000, 0.5000, 0.7140)
Li (0.0000, 0.0000, 0.9713)


[10]
Compound: LuTiGaCu
Source: Alexandria via LeMat-Bulk
Functional: PBE
Structure: relaxed

Calculated values
- SG: F-43m, No. 216
- Total energy: -5.1568 eV per atom
- Energy relative to the elements: -0.27 eV/atom
- Size of the total moment: 1.1 μB per formula unit
- Fermi-level density of states: 1.900 states/eV/f.u.

a = 4.6639 Å, b = 4.6639 Å, c = 4.6639 Å
α = 60.00°, β = 60.00°, γ = 60.00°
Fractional coordinates of all 4 atoms:
Lu (0.7500, 0.7500, 0.7500)
Cu (0.0000, 0.0000, 0.0000)
Ti (0.2500, 0.2500, 0.2500)
Ga (0.5000, 0.5000, 0.5000)


[11]
Compound: Sc2SbAu
Source: Alexandria via LeMat-Bulk
Functional: PBE
Structure: relaxed

Calculated values
- SG: Pmmm, No. 47
- Total energy: -5.7249 eV per atom
- Size of the total moment: 0.6 μB per formula unit
- Fermi-level density of states: 2.875 states/eV/f.u.
- Formation energy without anion corrections: -0.71 eV per atom

a = 3.6683 Å, b = 3.6248 Å, c = 7.4300 Å
α = 60.77°, β = 90.00°, γ = 90.00°
Fractional coordinates of all 4 atoms:
Sc (0.0000, 0.5027, 0.4970)
Sb (0.5000, 0.7500, 0.7500)
Au (0.5000, 0.2500, 0.2500)
Sc (0.0000, 0.9973, 0.0030)


[12]
Compound: Rb3NdTm2S6
Source: Alexandria via LeMat-Bulk
Functional: PBE
Structure: relaxed

Calculated values
- SG: C2/m, No. 12
- Total energy: -5.2858 eV per atom
- Size of the total moment: 0.0 μB per formula unit
- Fermi-level density of states: 0.000 states/eV/f.u.
- Formation energy without anion corrections: -1.84 eV per atom

a = 7.0899 Å, b = 7.0899 Å, c = 8.0494 Å
α = 98.45°, β = 98.45°, γ = 120.00°
Fractional coordinates of all 12 atoms:
Nd (0.0000, 0.0000, 0.0000)
S (0.9359, 0.5910, 0.8079)
S (0.2810, 0.2810, 0.8083)
S (0.5910, 0.9359, 0.8079)
Rb (0.1651, 0.8349, 0.5000)
Rb (0.5000, 0.5000, 0.5000)
Rb (0.8349, 0.1651, 0.5000)
S (0.7190, 0.7190, 0.1917)
S (0.4090, 0.0641, 0.1921)
Tm (0.3332, 0.6668, 0.0000)
S (0.0641, 0.4090, 0.1921)
Tm (0.6668, 0.3332, 0.0000)